## Sr3Al2Ga9 (PBE-GGA)

Data for a relaxed structure of Sr3Al2Ga9.

The structure belongs to space group Immm (No. 71); the cell edges are 4.4078, 10.3898 and 13.2825 Å and the angles 90.00°, 90.00° and 90.00°. The asymmetric unit holds Sr at (0.0000, 0.0000, 0.0000), Sr at (0.0000, 0.0000, 0.3149), Al at (0.0000, 0.2182, 0.5000), Ga at (0.0000, 0.2738, 0.1444), Ga at (0.0000, 0.3712, 0.3367) and Ga at (0.0000, 0.5000, 0.0000).

As for the formation enthalpy at 0 K: -0.349 eV per atom. The value obtained for the electronic total energy is -3.190 eV/atom. The calculation puts the total magnetic moment at 0.000 μB per atom. Its density of states at the Fermi level is 5.372 states/eV/f.u.